No. 1
A relaxed CuTe2Pb3O9 crystal. Source: Alexandria, functional PBE.

Calculated values
- E_form (uncorrected) (eV per atom) = -0.944
- calculated density (Mg/m³) = 8.59
- uncorrected energy (eV/atom) = -5.353
- space-group type = No. 164

abc: 5.8115 5.8115 7.1684
angles: 90.00 90.00 120.00
Fractional coordinates of all 15 atoms:
Cu (0.0000, 0.0000, 0.5000)
Te (0.3333, 0.6667, 0.1754)
Te (0.6667, 0.3333, 0.8246)
Pb (0.3333, 0.6667, 0.6423)
Pb (0.0000, 0.0000, 0.0000)
Pb (0.6667, 0.3333, 0.3577)
O (0.8294, 0.1706, 0.6709)
O (0.8294, 0.6587, 0.6709)
O (0.3413, 0.1706, 0.6709)
O (0.6587, 0.8294, 0.3291)
O (0.1706, 0.3413, 0.3291)
O (0.1706, 0.8294, 0.3291)
O (0.5000, 0.0000, 0.0000)
O (0.0000, 0.5000, 0.0000)
O (0.5000, 0.5000, 0.0000)

---

No. 2
A relaxed TiCuPbO4 crystal. Source: Alexandria, functional PBE.

Calculated values
- E_form (uncorrected) (eV per atom) = -1.663
- calculated density (Mg/m³) = 6.64
- uncorrected energy (eV/atom) = -6.739
- space-group type = No. 74

abc: 6.1095 6.7257 6.0571
angles: 116.77 90.00 117.02
Each line ends with the local moment (μB).
Fractional coordinates of all 14 atoms:
Ti (0.5000, 0.0000, 0.5000)  0.03
Ti (0.5000, 0.0000, 0.0000)  0.03
Cu (0.5000, 0.5000, 0.5000)  0.51
Cu (0.0000, 0.5000, 0.5000)  0.51
Pb (0.8466, 0.6932, 0.0966)  0.02
Pb (0.1534, 0.3068, 0.9034)  0.02
O (0.6976, 0.3953, 0.6536)  0.17
O (0.2839, 0.9833, 0.2417)  0.03
O (0.6994, 0.9833, 0.2416)  0.03
O (0.6976, 0.3953, 0.2416)  0.17
O (0.3024, 0.6047, 0.7584)  0.17
O (0.7161, 0.0167, 0.7583)  0.03
O (0.3006, 0.0167, 0.7584)  0.03
O (0.3024, 0.6047, 0.3464)  0.17

---

No. 3
A relaxed TiCu2Pb3O6 crystal. Source: Alexandria, functional PBE.

Calculated values
- E_form (uncorrected) (eV per atom) = -1.154
- calculated density (Mg/m³) = 8.28
- uncorrected energy (eV/atom) = -5.901
- space-group type = No. 164

abc: 5.7624 5.7624 6.2272
angles: 90.00 90.00 120.00
Fractional coordinates of all 12 atoms:
Ti (0.0000, 0.0000, 0.5000)
Cu (0.6667, 0.3333, 0.8526)
Cu (0.3333, 0.6667, 0.1474)
Pb (0.3333, 0.6667, 0.6311)
Pb (0.6667, 0.3333, 0.3689)
Pb (0.0000, 0.0000, 0.0000)
O (0.6736, 0.8368, 0.3174)
O (0.1632, 0.3264, 0.3174)
O (0.1632, 0.8368, 0.3174)
O (0.8368, 0.6736, 0.6826)
O (0.3264, 0.1632, 0.6826)
O (0.8368, 0.1632, 0.6826)